# 1
# GGA-PBE KY2Se, relaxed
# E_form (uncorrected)   -0.635 eV per atom
# Volume   35.4 A^3/atom
data_KY2Se
_cell_length_a 3.9270
_cell_length_b 3.9270
_cell_length_c 31.7648
_cell_angle_alpha 90.00
_cell_angle_beta 90.00
_cell_angle_gamma 120.00
_symmetry_space_group_name_H-M 'R -3 m'
_symmetry_Int_Tables_number 166
_symmetry_space_group_name_Hall '-R 3 2"'
loop_
_atom_site_label
_atom_site_type_symbol
_atom_site_fract_x
_atom_site_fract_y
_atom_site_fract_z
_atom_site_occupancy
K1 K 0.0000 0.0000 0.0000 1
Y1 Y 0.0000 0.0000 0.2202 1
Se1 Se 0.0000 0.0000 0.5000 1

# 2
# GGA-PBE KYSe2, relaxed
# E_form (uncorrected)   -1.450 eV per atom
# Volume   27.8 A^3/atom
data_KYSe2
_cell_length_a 4.343
_cell_length_b 4.343
_cell_length_c 5.898
_cell_angle_alpha 90.00
_cell_angle_beta 90.00
_cell_angle_gamma 90.00
_symmetry_space_group_name_H-M 'P 4/m m m'
_symmetry_Int_Tables_number 123
_symmetry_space_group_name_Hall '-P 4 2'
loop_
_atom_site_label
_atom_site_type_symbol
_atom_site_fract_x
_atom_site_fract_y
_atom_site_fract_z
_atom_site_occupancy
K1 K 0.000 0.000 0.000 1
Y1 Y 0.500 0.500 0.500 1
Se1 Se 0.000 0.000 0.500 1
Se2 Se 0.500 0.500 0.000 1

# 3
# GGA-PBE KYSe2, relaxed
# E_form (uncorrected)   -1.409 eV per atom
# Volume   36.7 A^3/atom
data_KYSe2
_cell_length_a 4.6109
_cell_length_b 4.6109
_cell_length_c 7.9650
_cell_angle_alpha 90.00
_cell_angle_beta 90.00
_cell_angle_gamma 120.00
_symmetry_space_group_name_H-M 'P 3 m 1'
_symmetry_Int_Tables_number 156
loop_
_symmetry_equiv_pos_as_xyz
'x,y,z'
'-y,x-y,z'
'-x+y,-x,z'
'-y,-x,z'
'-x+y,y,z'
'x,x-y,z'
loop_
_atom_site_label
_atom_site_type_symbol
_atom_site_fract_x
_atom_site_fract_y
_atom_site_fract_z
_atom_site_occupancy
K1 K 0.0000 0.0000 0.0000 1
Y1 Y 0.3333 0.6667 0.4731 1
Se1 Se 0.3333 0.6667 0.7912 1
Se2 Se 0.6667 0.3333 0.3373 1

| no. | D(E_F) (states/eV/cell) | electronic total energy (eV/cell) |
| --- | --- | --- |
| 1 | 15.22 | -60.155 |
| 2 | 0.00 | -20.330 |
| 3 | 0.00 | -20.167 |